Computed, not measured: a relaxed NaTb2NdHg4 crystal at the PBE level of DFT.

abc: 5.2446 5.2446 9.2943
angles: 73.61 73.61 60.00
Positions (direct):
Hg: 0.1255 0.1255 0.6235
Hg: 0.8745 0.8745 0.3765
Hg: 0.6217 0.6217 0.1350
Hg: 0.3783 0.3783 0.8650
Na: 0.5000 0.5000 0.5000
Tb: 0.2449 0.2449 0.2653
Tb: 0.7551 0.7551 0.7347
Nd: 0.0000 0.0000 0.0000

Formation energy from the elements in eV per atom: -0.41
Density of states at the Fermi level in states/eV/cell: 7.915
E in eV/atom: -2.4768